Below is a relaxed structure of Sr2Zn3Ge5, with properties calculated at the GGA-PBE level.

Cell: 4.651 4.651 10.141 Å, 90.00 90.00 90.00°
Positions (direct):
Ge 0.500 0.500 0.000
Ge 0.500 0.000 0.876
Ge 0.500 0.500 0.500
Ge 0.000 0.500 0.124
Ge 0.000 0.000 0.000
Sr 0.500 0.000 0.255
Sr 0.000 0.500 0.745
Zn 0.000 0.500 0.376
Zn 0.500 0.000 0.624
Zn 0.000 0.000 0.500

Calculated values
Formation energy: -0.26 eV/atom
Space-group type: P-4m2, No. 115
Theoretical density: 5.6 g cm⁻³
DOS(E_F): 2.354 states/eV/f.u.
Energy relative to the lowest polymorph listed for this composition: 5.2 kJ/mol of atoms